No. 1
A plane-wave DFT calculation with PBE was carried out for crystalline Ti2AlAg at its relaxed geometry.

Cell: 3.972 3.972 4.244 Å, 90.00 90.00 90.00°
Fractional coordinates of all 4 atoms:
Ti (0.000, 0.500, 0.000)
Ti (0.500, 0.000, 0.000)
Al (0.000, 0.000, 0.500)
Ag (0.500, 0.500, 0.500)

Output
**Crystal system**: tetragonal
**Space-group type**: P4/mmm

***

No. 2
A plane-wave DFT calculation with PBE was carried out for crystalline TiAlAg2 at its relaxed geometry.

Cell: 9.984 9.984 9.984 Å, 157.29 157.29 32.33°
Fractional coordinates of all 8 atoms:
Ti (0.000, 0.000, 0.000)
Ti (0.750, 0.250, 0.500)
Al (0.250, 0.750, 0.500)
Al (0.500, 0.500, 0.000)
Ag (0.132, 0.625, 0.007)
Ag (0.375, 0.382, 0.507)
Ag (0.618, 0.125, 0.993)
Ag (0.875, 0.868, 0.493)

Output
**Crystal system**: tetragonal
**Space-group type**: I-42d

***

No. 3
A plane-wave DFT calculation with PBE was carried out for crystalline Ti2AlAg at its relaxed geometry.

Cell: 2.881 2.881 8.021 Å, 90.00 90.00 90.00°
Fractional coordinates of all 4 atoms:
Ti (0.000, 0.000, 0.241)
Ti (0.000, 0.000, 0.759)
Al (0.500, 0.500, 0.000)
Ag (0.500, 0.500, 0.500)

Output
**Crystal system**: tetragonal
**Space-group type**: P4/mmm

***

No. 4
A plane-wave DFT calculation with PBE was carried out for crystalline Ti3AlAg at its relaxed geometry.

Cell: 4.710 4.710 4.710 Å, 90.00 90.00 90.00°
Fractional coordinates of all 5 atoms:
Ti (0.000, 0.000, 0.500)
Ti (0.000, 0.500, 0.000)
Ti (0.500, 0.000, 0.000)
Al (0.000, 0.000, 0.000)
Ag (0.500, 0.500, 0.500)

Output
**Crystal system**: cubic
**E above lowest polymorph**: 0.0000 eV per atom
**Space-group type**: Pm-3m

***

No. 5
A plane-wave DFT calculation with PBE was carried out for crystalline Ti3AlAg at its relaxed geometry.

Cell: 4.820 4.820 4.820 Å, 90.00 90.00 90.00°
Fractional coordinates of all 5 atoms:
Ti (0.000, 0.000, 0.500)
Ti (0.000, 0.500, 0.000)
Ti (0.500, 0.000, 0.000)
Al (0.500, 0.500, 0.500)
Ag (0.000, 0.000, 0.000)

Output
**Crystal system**: cubic
**E above lowest polymorph**: 0.1341 eV per atom
**Space-group type**: Pm-3m

***

No. 6
A plane-wave DFT calculation with PBE was carried out for crystalline Ti4Al5Ag at its relaxed geometry.

Cell: 2.860 2.860 19.871 Å, 90.00 90.00 90.00°
Fractional coordinates of all 10 atoms:
Ti (0.000, 0.000, 0.100)
Ti (0.000, 0.000, 0.301)
Ti (0.000, 0.000, 0.699)
Ti (0.000, 0.000, 0.900)
Al (0.500, 0.500, 0.000)
Al (0.500, 0.500, 0.200)
Al (0.500, 0.500, 0.399)
Al (0.500, 0.500, 0.601)
Al (0.500, 0.500, 0.800)
Ag (0.000, 0.000, 0.500)

Output
**Crystal system**: tetragonal
**Space-group type**: P4/mmm

***

No. 7
A plane-wave DFT calculation with PBE was carried out for crystalline TmTiAlAg at its relaxed geometry.

Cell: 4.848 4.848 4.848 Å, 60.00 60.00 60.00°
Fractional coordinates of all 4 atoms:
Tm (0.000, 0.000, 0.000)
Ti (0.500, 0.500, 0.500)
Al (0.250, 0.250, 0.250)
Ag (0.750, 0.750, 0.750)

Output
**Crystal system**: cubic
**Space-group type**: F-43m

***

No. 8
A plane-wave DFT calculation with PBE was carried out for crystalline TiAlV2Ag at its relaxed geometry.

Cell: 4.298 4.298 4.910 Å, 90.00 90.00 90.00°
Fractional coordinates of all 5 atoms:
Ti (0.000, 0.000, 0.000)
Al (0.500, 0.500, 0.500)
V (0.000, 0.500, 0.000)
V (0.500, 0.000, 0.000)
Ag (0.000, 0.000, 0.500)

Output
**Crystal system**: tetragonal
**Space-group type**: P4/mmm

***

No. 9
A plane-wave DFT calculation with PBE was carried out for crystalline ZrTiAlAg at its relaxed geometry.

Cell: 4.721 4.721 4.721 Å, 60.00 60.00 60.00°
Fractional coordinates of all 4 atoms:
Zr (0.000, 0.000, 0.000)
Ti (0.500, 0.500, 0.500)
Al (0.250, 0.250, 0.250)
Ag (0.750, 0.750, 0.750)

Output
**Crystal system**: cubic
**Space-group type**: F-43m

***

No. 10
A plane-wave DFT calculation with PBE was carried out for crystalline AlTlAg2 at its relaxed geometry.

Cell: 3.063 3.186 8.397 Å, 90.00 90.00 90.00°
Fractional coordinates of all 4 atoms:
Al (0.000, 0.000, 0.000)
Tl (0.000, 0.000, 0.500)
Ag (0.500, 0.500, 0.197)
Ag (0.500, 0.500, 0.803)

Output
**Crystal system**: orthorhombic
**E above lowest polymorph**: 0.0000 eV per atom
**Space-group type**: Pmmm

***

No. 11
A plane-wave DFT calculation with PBE was carried out for crystalline AlTl2Ag at its relaxed geometry.

Cell: 5.736 5.736 5.736 Å, 140.98 123.93 70.42°
Fractional coordinates of all 4 atoms:
Al (0.000, 0.000, 0.000)
Tl (0.249, 0.749, 0.500)
Tl (0.751, 0.251, 0.500)
Ag (0.500, 0.500, 0.000)

Output
**Crystal system**: orthorhombic
**E above lowest polymorph**: 0.1561 eV per atom
**Space-group type**: Immm

***

No. 12
A plane-wave DFT calculation with PBE was carried out for crystalline AlTlAg2 at its relaxed geometry.

Cell: 4.807 4.807 6.111 Å, 102.90 102.90 37.54°
Fractional coordinates of all 4 atoms:
Al (0.000, 0.000, 0.000)
Tl (0.500, 0.500, 0.500)
Ag (0.264, 0.264, 0.798)
Ag (0.736, 0.736, 0.202)

Output
**Crystal system**: monoclinic
**E above lowest polymorph**: 0.0656 eV per atom
**Space-group type**: C2/m

***

No. 13
A plane-wave DFT calculation with PBE was carried out for crystalline AlTl2Ag at its relaxed geometry.

Cell: 5.496 5.496 5.496 Å, 129.86 129.86 73.63°
Fractional coordinates of all 4 atoms:
Al (0.000, 0.000, 0.000)
Tl (0.250, 0.750, 0.500)
Tl (0.750, 0.250, 0.500)
Ag (0.500, 0.500, 0.000)

Output
**Crystal system**: tetragonal
**E above lowest polymorph**: 0.1433 eV per atom
**Space-group type**: I4/mmm

***

No. 14
A plane-wave DFT calculation with PBE was carried out for crystalline AlTl2Ag at its relaxed geometry.

Cell: 5.141 5.141 5.141 Å, 60.00 60.00 60.00°
Fractional coordinates of all 4 atoms:
Al (0.000, 0.000, 0.000)
Tl (0.250, 0.250, 0.250)
Tl (0.750, 0.750, 0.750)
Ag (0.500, 0.500, 0.500)

Output
**Crystal system**: cubic
**E above lowest polymorph**: 0.1436 eV per atom
**Space-group type**: Fm-3m

***

No. 15
A plane-wave DFT calculation with PBE was carried out for crystalline Al3TlAg at its relaxed geometry.

Cell: 4.966 4.966 4.966 Å, 90.00 90.00 90.00°
Fractional coordinates of all 5 atoms:
Al (0.000, 0.000, 0.500)
Al (0.000, 0.500, 0.000)
Al (0.500, 0.000, 0.000)
Tl (0.500, 0.500, 0.500)
Ag (0.000, 0.000, 0.000)

Output
**Crystal system**: cubic
**E above lowest polymorph**: 0.0000 eV per atom
**Space-group type**: Pm-3m

***

No. 16
A plane-wave DFT calculation with PBE was carried out for crystalline AlTlAg2 at its relaxed geometry.

Cell: 9.604 9.604 9.604 Å, 18.85 18.85 18.85°
Fractional coordinates of all 4 atoms:
Al (0.000, 0.000, 0.000)
Tl (0.243, 0.243, 0.243)
Ag (0.486, 0.486, 0.486)
Ag (0.739, 0.739, 0.739)

Output
**Crystal system**: trigonal
**E above lowest polymorph**: 0.0917 eV per atom
**Space-group type**: R3m

***

No. 17
A plane-wave DFT calculation with PBE was carried out for crystalline AlTl2Ag at its relaxed geometry.

Cell: 6.384 6.384 6.384 Å, 151.02 129.44 59.33°
Fractional coordinates of all 4 atoms:
Al (0.000, 0.000, 0.000)
Tl (0.455, 0.455, 0.000)
Tl (0.747, 0.247, 0.500)
Ag (0.194, 0.694, 0.500)

Output
**Crystal system**: orthorhombic
**E above lowest polymorph**: 0.0694 eV per atom
**Space-group type**: Imm2

***

No. 18
A plane-wave DFT calculation with PBE was carried out for crystalline AlTl2Ag at its relaxed geometry.

Cell: 3.649 4.810 5.551 Å, 90.00 90.00 90.00°
Fractional coordinates of all 4 atoms:
Al (0.000, 0.000, 0.000)
Tl (0.000, 0.500, 0.500)
Tl (0.500, 0.500, 0.000)
Ag (0.500, 0.000, 0.500)

Output
**Crystal system**: orthorhombic
**E above lowest polymorph**: 0.1628 eV per atom
**Space-group type**: Pmmm

***

No. 19
A plane-wave DFT calculation with PBE was carried out for crystalline AlTl2Ag at its relaxed geometry.

Cell: 5.525 5.525 3.181 Å, 90.30 90.30 101.03°
Fractional coordinates of all 4 atoms:
Al (0.000, 0.000, 0.000)
Tl (0.000, 0.500, 0.500)
Tl (0.500, 0.000, 0.500)
Ag (0.500, 0.500, 0.000)

Output
**Crystal system**: monoclinic
**E above lowest polymorph**: 0.1276 eV per atom
**Space-group type**: C2/m

***

No. 20
A plane-wave DFT calculation with PBE was carried out for crystalline Al2Tl2Ag at its relaxed geometry.

Cell: 8.459 8.459 3.360 Å, 90.00 90.00 90.00°
Fractional coordinates of all 10 atoms:
Al (0.114, 0.386, 0.000)
Al (0.386, 0.886, 0.000)
Al (0.614, 0.114, 0.000)
Al (0.886, 0.614, 0.000)
Tl (0.186, 0.686, 0.500)
Tl (0.314, 0.186, 0.500)
Tl (0.686, 0.814, 0.500)
Tl (0.814, 0.314, 0.500)
Ag (0.000, 0.000, 0.500)
Ag (0.500, 0.500, 0.500)

Output
**Crystal system**: tetragonal
**E above lowest polymorph**: 0.0927 eV per atom
**Space-group type**: P4/mbm

***

| no. | formation energy from the elements (eV/f.u.) | V (Å³ per atom) |
| --- | --- | --- |
| 1 | -0.609 | 16.741 |
| 2 | 0.913 | 18.519 |
| 3 | -0.710 | 16.642 |
| 4 | 4.197 | 20.894 |
| 5 | 4.868 | 22.398 |
| 6 | -3.438 | 16.255 |
| 7 | -0.571 | 20.142 |
| 8 | 5.613 | 18.139 |
| 9 | -0.479 | 18.605 |
| 10 | 0.242 | 20.485 |
| 11 | 1.038 | 24.201 |
| 12 | 0.505 | 20.905 |
| 13 | 0.987 | 23.863 |
| 14 | 0.989 | 24.027 |
| 15 | 2.173 | 24.498 |
| 16 | 0.609 | 20.210 |
| 17 | 0.691 | 24.158 |
| 18 | 1.065 | 24.357 |
| 19 | 0.924 | 23.819 |
| 20 | 1.861 | 24.047 |